# 1
An optimized crystal structure of Rb2Na3ReO6. Source: Alexandria, functional GGA-PBE.

```
data_Rb2Na3ReO6
_cell_length_a 6.730
_cell_length_b 6.730
_cell_length_c 5.724
_cell_angle_alpha 100.24
_cell_angle_beta 100.24
_cell_angle_gamma 123.67
_symmetry_space_group_name_H-M 'P 1'
_symmetry_Int_Tables_number 1
loop_
_symmetry_equiv_pos_as_xyz
'x,y,z'
loop_
_atom_site_label
_atom_site_fract_x
_atom_site_fract_y
_atom_site_fract_z
Re1 0.000 0.000 0.000
O1 0.073 0.300 0.223
O2 0.700 0.927 0.777
O3 0.807 0.807 0.188
O4 0.300 0.073 0.223
O5 0.193 0.193 0.812
O6 0.927 0.700 0.777
Na1 0.500 0.500 0.500
Na2 0.125 0.875 0.500
Na3 0.875 0.125 0.500
Rb1 0.675 0.325 0.000
Rb2 0.325 0.675 0.000
```

The calculated total energy comes out at -67.420 eV/cell. The energy relative to the elements, uncorrected comes out at -1.6108 eV/atom. Its symmetry is C2/m. As for the total magnetic moment: 0.000 μB per atom.

# 2
An optimized crystal structure of HoTm6In. Source: Alexandria, functional GGA-PBE.

```
data_HoTm6In
_cell_length_a 4.849
_cell_length_b 4.849
_cell_length_c 9.833
_cell_angle_alpha 90.00
_cell_angle_beta 90.00
_cell_angle_gamma 90.00
_symmetry_space_group_name_H-M 'P 1'
_symmetry_Int_Tables_number 1
loop_
_symmetry_equiv_pos_as_xyz
'x,y,z'
loop_
_atom_site_label
_atom_site_fract_x
_atom_site_fract_y
_atom_site_fract_z
In1 0.000 0.000 0.500
Ho1 0.000 0.000 0.000
Tm1 0.000 0.500 0.254
Tm2 0.500 0.500 0.500
Tm3 0.500 0.000 0.746
Tm4 0.000 0.500 0.746
Tm5 0.500 0.500 0.000
Tm6 0.500 0.000 0.254
```

Its energy above the most stable polymorph in this dataset is 0.000 eV per atom. The calculated total energy comes out at -35.050 eV/cell. Its symmetry is P4/mmm. The formation energy is -0.11 eV/atom. As for the total magnetic moment: 0.000 μB per atom.

# 3
An optimized crystal structure of In2AgIr. Source: Alexandria, functional GGA-PBE.

```
data_In2AgIr
_cell_length_a 5.363
_cell_length_b 5.363
_cell_length_c 5.363
_cell_angle_alpha 135.76
_cell_angle_beta 135.76
_cell_angle_gamma 64.35
_symmetry_space_group_name_H-M 'P 1'
_symmetry_Int_Tables_number 1
loop_
_symmetry_equiv_pos_as_xyz
'x,y,z'
loop_
_atom_site_label
_atom_site_fract_x
_atom_site_fract_y
_atom_site_fract_z
Ag1 0.750 0.250 0.500
In1 0.250 0.750 0.500
In2 0.000 0.000 0.000
Ir1 0.500 0.500 0.000
```

The calculated total energy comes out at -17.053 eV/cell. Its symmetry is I-4m2. The formation energy is 0.03 eV/atom. As for the total magnetic moment: 0.000 μB per atom.

# 4
An optimized crystal structure of ZnRu3. Source: Alexandria, functional GGA-PBE.

```
data_ZnRu3
_cell_length_a 4.483
_cell_length_b 4.483
_cell_length_c 2.809
_cell_angle_alpha 90.00
_cell_angle_beta 90.00
_cell_angle_gamma 90.00
_symmetry_space_group_name_H-M 'P 1'
_symmetry_Int_Tables_number 1
loop_
_symmetry_equiv_pos_as_xyz
'x,y,z'
loop_
_atom_site_label
_atom_site_fract_x
_atom_site_fract_y
_atom_site_fract_z
Ru1 0.500 0.000 0.500
Ru2 0.500 0.500 0.000
Ru3 0.000 0.000 0.000
Zn1 0.000 0.500 0.500
```

The calculated total energy comes out at -27.937 eV/cell. Its symmetry is P4/mmm. The formation energy is 0.29 eV/atom. As for the total magnetic moment: 0.000 μB per atom.

# 5
An optimized crystal structure of Sm3Dy6Tm. Source: Alexandria, functional GGA-PBE.

```
data_Sm3Dy6Tm
_cell_length_a 6.272
_cell_length_b 10.941
_cell_length_c 10.941
_cell_angle_alpha 119.90
_cell_angle_beta 90.00
_cell_angle_gamma 90.00
_symmetry_space_group_name_H-M 'P 1'
_symmetry_Int_Tables_number 1
loop_
_symmetry_equiv_pos_as_xyz
'x,y,z'
loop_
_atom_site_label
_atom_site_fract_x
_atom_site_fract_y
_atom_site_fract_z
Sm1 0.961 0.060 0.283
Sm2 0.461 0.940 0.717
Sm3 0.569 0.611 0.389
Sm4 0.961 0.717 0.940
Sm5 0.069 0.389 0.611
Sm6 0.461 0.283 0.060
Dy1 0.044 0.381 0.288
Dy2 0.398 0.957 0.043
Dy3 0.645 0.277 0.723
Dy4 0.544 0.288 0.381
Dy5 0.044 0.712 0.619
Dy6 0.365 0.048 0.468
Dy7 0.898 0.043 0.957
Dy8 0.544 0.619 0.712
Dy9 0.865 0.468 0.048
Dy10 0.145 0.723 0.277
Dy11 0.365 0.532 0.952
Dy12 0.865 0.952 0.532
Tm1 0.134 0.201 0.799
Tm2 0.634 0.799 0.201
```

Its energy above the most stable polymorph in this dataset is 0.000 eV per atom. The calculated total energy comes out at -89.501 eV/cell. Its symmetry is Cmc2_1. The formation energy is 0.15 eV/atom. As for the total magnetic moment: 0.000 μB per atom.

# 6
An optimized crystal structure of KHg2Br. Source: Alexandria, functional GGA-PBE.

```
data_KHg2Br
_cell_length_a 9.810
_cell_length_b 9.810
_cell_length_c 7.635
_cell_angle_alpha 50.03
_cell_angle_beta 50.03
_cell_angle_gamma 90.00
_symmetry_space_group_name_H-M 'P 1'
_symmetry_Int_Tables_number 1
loop_
_symmetry_equiv_pos_as_xyz
'x,y,z'
loop_
_atom_site_label
_atom_site_fract_x
_atom_site_fract_y
_atom_site_fract_z
Hg1 0.875 0.886 0.750
Hg2 0.375 0.364 0.750
Hg3 0.114 0.625 0.250
Hg4 0.636 0.125 0.250
K1 0.500 0.500 0.000
K2 0.250 0.750 0.500
Br1 0.750 0.250 0.500
Br2 0.000 0.000 0.000
```

Its energy above the most stable polymorph in this dataset is 0.102 eV per atom. The calculated total energy comes out at -12.099 eV/cell. The energy relative to the elements, uncorrected comes out at -0.6689 eV/atom. Its symmetry is I-42d. As for the total magnetic moment: 0.000 μB per atom.

# 7
An optimized crystal structure of TaTc2Os. Source: Alexandria, functional GGA-PBE.

```
data_TaTc2Os
_cell_length_a 4.840
_cell_length_b 4.840
_cell_length_c 4.807
_cell_angle_alpha 80.59
_cell_angle_beta 80.59
_cell_angle_gamma 33.80
_symmetry_space_group_name_H-M 'P 1'
_symmetry_Int_Tables_number 1
loop_
_symmetry_equiv_pos_as_xyz
'x,y,z'
loop_
_atom_site_label
_atom_site_fract_x
_atom_site_fract_y
_atom_site_fract_z
Tc1 0.008 0.008 0.984
Tc2 0.752 0.752 0.750
Os1 0.492 0.492 0.512
Ta1 0.247 0.247 0.254
```

Its energy above the most stable polymorph in this dataset is 0.046 eV per atom. The calculated total energy comes out at -43.812 eV/cell. Its symmetry is Cm. The formation energy is 0.00 eV/atom. As for the total magnetic moment: 0.000 μB per atom.

# 8
An optimized crystal structure of ScFe2Ir. Source: Alexandria, functional GGA-PBE.

```
data_ScFe2Ir
_cell_length_a 4.984
_cell_length_b 4.968
_cell_length_c 2.779
_cell_angle_alpha 78.65
_cell_angle_beta 79.59
_cell_angle_gamma 116.33
_symmetry_space_group_name_H-M 'P 1'
_symmetry_Int_Tables_number 1
loop_
_symmetry_equiv_pos_as_xyz
'x,y,z'
loop_
_atom_site_label
_atom_site_fract_x
_atom_site_fract_y
_atom_site_fract_z
Ir1 0.500 0.500 0.000
Fe1 0.000 0.000 0.000
Fe2 0.000 0.500 0.500
Sc1 0.500 0.000 0.500
```

The calculated total energy comes out at -32.638 eV/cell. Its symmetry is C2/m. The formation energy is -0.13 eV/atom. As for the total magnetic moment: 1.171 μB per atom.

Which value of total magnetic moment does entry 5 give?
0.000 μB per atom